Cr3PdS: relaxed, PBE-GGA.

Geometry as POSCAR:
```
Cr3PdS
1.0
4.1381 0.0000 0.0000
0.0000 4.1381 0.0000
0.0000 0.0000 4.1381
S Cr Pd
1 3 1
Direct
0.0000 0.0000 0.0000 S
0.0000 0.0000 0.5000 Cr
0.5000 0.0000 0.0000 Cr
0.0000 0.5000 0.0000 Cr
0.5000 0.5000 0.5000 Pd
```

Properties
energy above the lowest structure with this stoichiometry	0.0	meV per atom